Density functional theory data (PBE) for a geometry-optimized BaCdI structure.

Total energy = -14.6 eV for the cell shown
Crystal system = monoclinic
Total moment = 0.0 μB per formula unit
Formation energy without anion corrections = -0.97 eV/atom

Cell lengths 5.2830, 5.2830, 11.3674 Å; angles 92.03, 92.03, 60.10 degrees
Fractional coordinates of all 6 atoms:
Ba 0.0100 0.0100 0.1894
Ba 0.9900 0.9900 0.8106
Cd 0.3334 0.3334 0.0001
Cd 0.6666 0.6666 0.9999
I 0.3161 0.3161 0.6617
I 0.6839 0.6839 0.3383